The following is a DFT calculation (GGA-PBE) of DyHo3Sc3 after structural relaxation.

The space group is R-3 (No. 148, hexagonal axes) and the conventional cell measures 5.9156, 5.9156 and 40.9122 Å, with angles of 90.00, 90.00 and 120.00 degrees. The asymmetric unit holds Dy at (0.0000, 0.0000, 0.1667), Ho at (0.0000, 0.3339, 0.4299) and Sc at (0.0002, 0.3325, 0.6357).

The calculation puts the final energy at -5.1783 eV per atom. The formation energy is 1.08 eV per formula unit.

The following is a DFT calculation (GGA-PBE) of Na2LiSbBr6 after structural relaxation.

The space group is R3 (No. 146, hexagonal axes) and the conventional cell measures 7.1823, 7.1823 and 21.6997 Å, with angles of 90.00, 90.00 and 120.00 degrees. The asymmetric unit holds Na at (0.0000, 0.0000, 0.0000), Na at (0.0000, 0.0000, 0.4984), Li at (0.0000, 0.0000, 0.8308), Sb at (0.0000, 0.0000, 0.1747), Br at (0.0017, 0.3182, 0.9090) and Br at (0.0305, 0.6866, 0.7619).

The calculation puts the final energy at -3.0414 eV per atom. Its uncorrected formation energy is -1.17 eV/atom.

The following is a DFT calculation (GGA-PBE) of PmYCoAg after structural relaxation.

The space group is F-43m (No. 216) and the conventional cell measures 7.101, 7.101 and 7.101 Å, with angles of 90.00, 90.00 and 90.00 degrees. The asymmetric unit holds Pm at (0.000, 0.000, 0.000), Y at (0.000, 0.000, 0.500), Co at (0.250, 0.250, 0.750) and Ag at (0.250, 0.250, 0.250).

The calculation puts the final energy at -5.4168 eV per atom. The formation energy is -0.50 eV per formula unit.